w | Al2TlSi | GGA-PBEsol | relaxed

Theoretical density (g/cm3): 6.2
DOS at the Fermi energy (states/eV/atom): 0.419

abc: 3.0723 3.0723 28.3666
angles: 90.00 90.00 120.00
Last column: nearest neighbours and their distance in Å.
Space group R-3m (No. 166, hexagonal axes)
One atom of each set of equivalent atoms:
Al: 0.0000 0.0000 0.2379 (multiplicity 6)  3 Si 2.69
Tl: 0.0000 0.0000 0.0000 (multiplicity 3)  6 Tl 3.07, 6 Al 3.24
Si: 0.0000 0.0000 0.5000 (multiplicity 3)  6 Al 2.69


x | Al2TlSi | GGA-PBEsol | relaxed

Theoretical density (g/cm3): 6.2
DOS at the Fermi energy (states/eV/atom): 0.430

abc: 3.9883 3.9883 9.6028
angles: 90.00 90.00 90.00
Last column: nearest neighbours and their distance in Å.
Space group I-4m2 (No. 119)
One atom of each set of equivalent atoms:
Al: 0.0000 0.0000 0.0000 (multiplicity 2)  4 Si 2.82, 4 Tl 3.12, 4 Al 3.12
Al: 0.0000 0.5000 0.2500 (multiplicity 2)  4 Tl 2.82, 4 Al 3.12, 4 Si 3.12
Tl: 0.0000 0.5000 0.7500 (multiplicity 2)  8 Al 2.82-3.12, 4 Si 3.12
Si: 0.0000 0.0000 0.5000 (multiplicity 2)  8 Al 2.82-3.12, 4 Tl 3.12


Bottom line: w, by a margin of 9.0 kJ/mol of atoms.


w | AlSiW2 | GGA-PBEsol | relaxed

Theoretical density (g/cm3): 12.1
DOS at the Fermi energy (states/eV/atom): 0.580

abc: 3.3672 4.1845 8.2438
angles: 90.00 90.00 90.00
Last column: nearest neighbours and their distance in Å.
Space group Imm2 (No. 44)
One atom of each set of equivalent atoms:
Al: 0.0000 0.0000 0.0000 (multiplicity 2)  8 W 2.69-2.90, 4 Si 2.70-2.91
Si: 0.0000 0.5000 0.7555 (multiplicity 2)  6 W 2.61-2.69, 4 Al 2.70-2.91
W: 0.0000 0.0000 0.4969 (multiplicity 2)  2 Si 2.61, 2 W 2.65, 4 Al 2.69
W: 0.0000 0.5000 0.2444 (multiplicity 2)  4 W 2.65-2.95, 4 Si 2.69, 4 Al 2.70-2.90


x | AlSiW2 | GGA-PBEsol | relaxed

Theoretical density (g/cm3): 12.2
DOS at the Fermi energy (states/eV/atom): 0.305

abc: 3.1898 3.1898 5.6765
angles: 90.00 90.00 90.00
Last column: nearest neighbours and their distance in Å.
Space group P4mm (No. 99)
One atom of each set of equivalent atoms:
Al: 0.0000 0.0000 0.0000 (multiplicity 1)  4 Si 2.65, 6 W 2.67-2.94
Si: 0.5000 0.5000 0.2467 (multiplicity 1)  6 W 2.62-2.85, 4 Al 2.65
W: 0.0000 0.0000 0.4822 (multiplicity 1)  4 Si 2.62, 4 W 2.72, 1 Al 2.74
W: 0.5000 0.5000 0.7492 (multiplicity 1)  4 Al 2.67, 4 W 2.72, 2 Si 2.82-2.85


Bottom line: x, by a margin of 20.6 kJ/mol of atoms.


w | Zr2Al3Si | GGA-PBEsol | relaxed

Theoretical density (g/cm3): 4.1
DOS at the Fermi energy (states/eV/atom): 0.740

abc: 5.2194 5.2194 4.9943
angles: 90.00 90.00 120.00
Last column: nearest neighbours and their distance in Å.
Space group P6/mmm (No. 191)
One atom of each set of equivalent atoms:
Zr: 0.3333 0.6667 0.0000 (multiplicity 2)  6 Al 2.92, 3 Si 3.01, 3 Zr 3.01
Al: 0.0000 0.5000 0.5000 (multiplicity 3)  4 Al 2.61, 4 Zr 2.92
Si: 0.0000 0.0000 0.0000 (multiplicity 1)  6 Zr 3.01


x | Zr2Al3Si | GGA-PBEsol | relaxed

Theoretical density (g/cm3): 4.7
DOS at the Fermi energy (states/eV/atom): 0.351

abc: 4.1118 12.6553 3.9611
angles: 90.00 90.00 90.00
Last column: nearest neighbours and their distance in Å.
Space group Cmmm (No. 65)
One atom of each set of equivalent atoms:
Zr: 0.0000 0.1464 0.0000 (multiplicity 4)  2 Si 2.71, 8 Al 2.77-3.00
Al: 0.0000 0.3248 0.5000 (multiplicity 4)  4 Al 2.79-2.97, 6 Zr 2.88-3.00, 2 Si 3.02
Al: 0.0000 0.5000 0.0000 (multiplicity 2)  4 Zr 2.77, 4 Si 2.85, 4 Al 2.97
Si: 0.0000 0.0000 0.5000 (multiplicity 2)  4 Zr 2.71, 8 Al 2.85-3.02


Bottom line: x, by a margin of 44.8 kJ/mol of atoms.


w | Zr3Al3Si2 | GGA-PBEsol | relaxed

Theoretical density (g/cm3): 4.9
DOS at the Fermi energy (states/eV/atom): 0.903

abc: 7.2690 7.2690 3.0631
angles: 90.00 90.00 120.00
Last column: nearest neighbours and their distance in Å.
Space group P-62m (No. 189)
One atom of each set of equivalent atoms:
Zr: 0.0000 0.7524 0.0000 (multiplicity 3)  2 Si 2.79, 6 Al 2.95-2.99, 4 Zr 3.06-3.12
Al: 0.0000 0.4048 0.5000 (multiplicity 3)  4 Si 2.69, 6 Zr 2.95-2.99
Si: 0.3333 0.6667 0.0000 (multiplicity 2)  6 Al 2.69, 3 Zr 2.79


x | Zr3Al3Si2 | GGA-PBEsol | relaxed

Theoretical density (g/cm3): 4.9
DOS at the Fermi energy (states/eV/atom): 0.500

abc: 6.5583 6.5583 3.7419
angles: 90.00 90.00 120.00
Last column: nearest neighbours and their distance in Å.
Space group P-62m (No. 189)
One atom of each set of equivalent atoms:
Zr: 0.0000 0.6169 0.0000 (multiplicity 3)  4 Si 2.77, 6 Al 2.89-3.08
Al: 0.0000 0.2447 0.5000 (multiplicity 3)  2 Si 2.53, 2 Al 2.78
Si: 0.3333 0.6667 0.5000 (multiplicity 2)  3 Al 2.53, 6 Zr 2.77


Bottom line: x, by a margin of 40.1 kJ/mol of atoms.


w | SmAl4 | GGA-PBEsol | relaxed

Theoretical density (g/cm3): 4.5
DOS at the Fermi energy (states/eV/atom): 0.317

abc: 4.4499 6.3059 13.6652
angles: 90.00 90.00 90.00
Last column: nearest neighbours and their distance in Å.
Space group Imma (No. 74)
One atom of each set of equivalent atoms:
Sm: 0.0000 0.2500 0.1133 (multiplicity 4)  13 Al 3.10-3.15
Al: 0.0000 0.0000 0.5000 (multiplicity 4)  2 Al 2.72
Al: 0.0000 0.0382 0.6983 (multiplicity 8)  7 Al 2.64-2.89
Al: 0.0000 0.2500 0.8862 (multiplicity 4)  10 Al 2.84-3.14, 3 Sm 3.10-3.15


x | SmAl4 | GGA-PBEsol | relaxed

Theoretical density (g/cm3): 4.3
DOS at the Fermi energy (states/eV/atom): 0.547

abc: 4.1721 4.1721 11.4298
angles: 90.00 90.00 90.00
Last column: nearest neighbours and their distance in Å.
Space group I4/mmm (No. 139)
One atom of each set of equivalent atoms:
Sm: 0.0000 0.0000 0.0000 (multiplicity 2)  16 Al 3.20-3.54
Al: 0.0000 0.0000 0.3908 (multiplicity 4)  5 Al 2.50-2.63
Al: 0.0000 0.5000 0.2500 (multiplicity 4)  8 Al 2.63-2.95


Bottom line: w, by a margin of 9.0 kJ/mol of atoms.


w | Sm3Al | GGA-PBEsol | relaxed

Theoretical density (g/cm3): 7.3
DOS at the Fermi energy (states/eV/atom): 1.037

abc: 6.8753 6.8753 5.2816
angles: 90.00 90.00 120.00
Last column: nearest neighbours and their distance in Å.
Space group P6_3/mmc (No. 194)
One atom of each set of equivalent atoms:
Sm: 0.1769 0.3538 0.2500 (multiplicity 6)  6 Sm 3.23-3.38, 4 Al 3.23-3.44
Al: 0.3333 0.6667 0.7500 (multiplicity 2)  12 Sm 3.23-3.44


x | Sm3Al | GGA-PBEsol | relaxed

Theoretical density (g/cm3): 7.4
DOS at the Fermi energy (states/eV/atom): 1.266

abc: 4.7592 4.7592 4.7592
angles: 90.00 90.00 90.00
Last column: nearest neighbours and their distance in Å.
Space group Pm-3m (No. 221)
One atom of each set of equivalent atoms:
Sm: 0.0000 0.0000 0.5000 (multiplicity 3)  4 Al 3.37, 8 Sm 3.37
Al: 0.5000 0.5000 0.5000 (multiplicity 1)  12 Sm 3.37


Bottom line: w, by a margin of 0.9 kJ/mol of atoms.